Below is crystalline La3Al6Pt5 at its relaxed geometry, with properties calculated at the PBE level.

Lattice parameters (Å, degrees): 4.321 13.113 9.631 90.00 90.00 90.00
Space group Pmmn (No. 59, origin choice 2)
One atom of each set of equivalent atoms:
La 0.250 0.053 0.247 (multiplicity 4)
La 0.250 0.750 0.260 (multiplicity 2)
Al 0.250 0.068 0.583 (multiplicity 4)
Al 0.250 0.250 0.038 (multiplicity 2)
Al 0.250 0.250 0.425 (multiplicity 2)
Al 0.250 0.598 0.982 (multiplicity 4)
Pt 0.250 0.093 0.871 (multiplicity 4)
Pt 0.250 0.635 0.538 (multiplicity 4)
Pt 0.250 0.750 0.804 (multiplicity 2)

Results
final energy	-164.4	eV per cell
D(E_F)	14.37	states/eV per cell
total magnetization	0.00	μB/cell
formation energy from the elements	-1426	kJ/mol of formula units